(1)
AcPr12Hg6: relaxed, PBE.

```
AcPr12Hg6
1.0
9.067 0.004 0.006
-2.244 8.785 0.006
-2.244 -2.890 8.296
Pr Hg Ac
12 6 1
Cartesian
6.608 -0.403 4.153
-2.028 1.844 7.318
-0.332 2.549 3.590
4.912 3.349 4.717
2.290 7.407 0.988
2.027 5.589 4.717
-2.028 6.302 4.153
2.552 3.287 1.476
2.290 -1.508 7.318
2.552 0.310 3.590
6.608 4.054 0.988
2.027 2.611 6.831
4.449 0.378 6.201
-0.737 4.403 6.201
0.131 0.168 5.907
4.449 5.730 2.400
0.131 5.521 2.106
5.316 1.495 2.106
0.000 0.000 0.000
```

Summary:
Its total energy is -3.4393 eV/atom. As for the space-group type: R-3m (166). For the formation energy from the elements, the calculation gives -2.07 eV/f.u. Its total magnetization is 0.00 μB per atom.

***

(2)
Ac2PrHg6: relaxed, PBE.

```
Ac2PrHg6
1.0
-2.099 -3.170 0.520
1.765 -2.523 -8.253
5.318 -2.441 6.584
Hg Pr Ac
6 1 2
Cartesian
3.696 -4.910 -0.858
0.706 -2.391 2.433
1.288 -3.223 -0.291
5.451 -5.716 1.315
2.514 -3.220 4.671
-0.467 -2.418 -2.464
5.318 -2.441 6.584
0.851 -5.665 -2.787
4.134 -2.468 1.638
```

Summary:
Its total energy is -2.0970 eV/atom. As for the space-group type: P6/mmm (191). For the formation energy from the elements, the calculation gives -4.07 eV/f.u. Its total magnetization is 0.00 μB per atom.

***

(3)
Ac3Pr3Hg2Rh: relaxed, PBE.

```
Ac3Pr3Hg2Rh
1.0
-3.422 1.412 1.545
-2.498 -8.485 2.223
4.756 5.052 5.919
Ac Pr Hg Rh
3 3 2 1
Cartesian
1.882 4.522 5.243
-3.598 -5.704 2.451
-1.158 -0.134 2.764
1.939 2.059 2.412
1.338 -2.034 4.823
-1.018 -3.458 0.906
-1.791 -3.267 4.227
0.627 1.246 5.459
0.000 0.000 0.000
```

Summary:
Its total energy is -4.2112 eV/atom. As for the space-group type: P-62m (189). For the formation energy from the elements, the calculation gives -3.28 eV/f.u. Its total magnetization is 0.00 μB per atom.

***

What did the third record say?
Ac3Pr3Hg2Rh: relaxed, PBE.

```
Ac3Pr3Hg2Rh
1.0
-3.422 1.412 1.545
-2.498 -8.485 2.223
4.756 5.052 5.919
Ac Pr Hg Rh
3 3 2 1
Cartesian
1.882 4.522 5.243
-3.598 -5.704 2.451
-1.158 -0.134 2.764
1.939 2.059 2.412
1.338 -2.034 4.823
-1.018 -3.458 0.906
-1.791 -3.267 4.227
0.627 1.246 5.459
0.000 0.000 0.000
```

Summary:
Its total energy is -4.2112 eV/atom. As for the space-group type: P-62m (189). For the formation energy from the elements, the calculation gives -3.28 eV/f.u. Its total magnetization is 0.00 μB per atom.

***

The highest total energy belongs to which entry?
Ac2PrHg6

***

Among the records above, which one has the lowest formation energy from the elements?
Ac2PrHg6